Record 1
Material: PCCl2F
Method: DFT, GGA-PBE
State: relaxed Values from VASP.

Summary:
- E_form (uncorrected): 986.4 meV/atom
- M_tot: 0.0 μB/f.u.
- Total energy: -3.053 eV per atom
- Space-group type: P4/mmm, No. 123

```
&SYSTEM
  ibrav = 0, nat = 5, ntyp = 4
/
ATOMIC_SPECIES
P 30.97 P.upf
C 12.01 C.upf
Cl 35.45 Cl.upf
F 19.00 F.upf
CELL_PARAMETERS angstrom
4.3608 0.0000 0.0000
0.0000 4.3608 0.0000
0.0000 0.0000 3.9662
ATOMIC_POSITIONS crystal
P 0.0000 0.0000 0.0000
C 0.0000 0.0000 0.5000
Cl 0.0000 0.5000 0.5000
Cl 0.5000 0.0000 0.5000
F 0.5000 0.5000 0.0000
```



Record 2
Material: PCCl2F
Method: DFT, GGA-PBE
State: relaxed Values from VASP.

Summary:
- E_form (uncorrected): 1505.5 meV/atom
- M_tot: 1.1 μB/f.u.
- Total energy: -2.534 eV per atom
- Space-group type: P4/mmm, No. 123

```
&SYSTEM
  ibrav = 0, nat = 5, ntyp = 4
/
ATOMIC_SPECIES
P 30.97 P.upf
C 12.01 C.upf
Cl 35.45 Cl.upf
F 19.00 F.upf
CELL_PARAMETERS angstrom
5.3463 0.0000 0.0000
0.0000 5.3463 0.0000
0.0000 0.0000 3.5670
ATOMIC_POSITIONS crystal
P 0.0000 0.0000 0.0000
C 0.5000 0.5000 0.0000
Cl 0.0000 0.5000 0.5000
Cl 0.5000 0.0000 0.5000
F 0.0000 0.0000 0.5000
```



Record 3
Material: P2CClF
Method: DFT, GGA-PBE
State: relaxed Values from VASP.

Summary:
- E_form (uncorrected): 1022.1 meV/atom
- M_tot: 0.0 μB/f.u.
- Total energy: -3.730 eV per atom
- Space-group type: P4/mmm, No. 123

```
&SYSTEM
  ibrav = 0, nat = 5, ntyp = 4
/
ATOMIC_SPECIES
P 30.97 P.upf
C 12.01 C.upf
Cl 35.45 Cl.upf
F 19.00 F.upf
CELL_PARAMETERS angstrom
4.0625 0.0000 0.0000
0.0000 4.0625 0.0000
0.0000 0.0000 4.3808
ATOMIC_POSITIONS crystal
P 0.0000 0.5000 0.0000
P 0.5000 0.0000 0.0000
C 0.0000 0.0000 0.0000
Cl 0.0000 0.0000 0.5000
F 0.5000 0.5000 0.5000
```



Record 4
Material: Pm6C3ClF2
Method: DFT, GGA-PBE
State: relaxed Values from VASP.

Summary:
- E_form (uncorrected): -1313.7 meV/atom
- M_tot: 0.0 μB/f.u.
- Total energy: -6.461 eV per atom
- Space-group type: C2/m, No. 12

```
&SYSTEM
  ibrav = 0, nat = 12, ntyp = 4
/
ATOMIC_SPECIES
Pm 145.00 Pm.upf
C 12.01 C.upf
Cl 35.45 Cl.upf
F 19.00 F.upf
CELL_PARAMETERS angstrom
8.4470 -1.8581 0.0000
8.4470 1.8581 0.0000
-2.3062 0.0000 7.4395
ATOMIC_POSITIONS crystal
Pm 0.0086 0.0086 0.2222
Pm 0.3221 0.3221 0.4351
Pm 0.3409 0.3409 0.8966
Pm 0.6591 0.6591 0.1034
Pm 0.6779 0.6779 0.5649
Pm 0.9914 0.9914 0.7778
C 0.1665 0.1665 0.3313
C 0.5000 0.5000 0.0000
C 0.8335 0.8335 0.6687
Cl 0.5000 0.5000 0.5000
F 0.1772 0.1772 0.8489
F 0.8228 0.8228 0.1511
```



Record 5
Material: Pm8C3Cl3F
Method: DFT, GGA-PBE
State: relaxed Values from VASP.

Summary:
- E_form (uncorrected): -1108.3 meV/atom
- M_tot: 0.0 μB/f.u.
- Total energy: -5.981 eV per atom
- Space-group type: C2/m, No. 12

```
&SYSTEM
  ibrav = 0, nat = 15, ntyp = 4
/
ATOMIC_SPECIES
Pm 145.00 Pm.upf
C 12.01 C.upf
Cl 35.45 Cl.upf
F 19.00 F.upf
CELL_PARAMETERS angstrom
6.5485 -3.7753 0.0000
6.5485 3.7753 0.0000
-4.3677 0.0000 6.7968
ATOMIC_POSITIONS crystal
Pm 0.2145 0.7445 0.7038
Pm 0.2327 0.2327 0.6979
Pm 0.2552 0.2552 0.2960
Pm 0.2555 0.7855 0.2962
Pm 0.7445 0.2145 0.7038
Pm 0.7448 0.7448 0.7040
Pm 0.7673 0.7673 0.3021
Pm 0.7855 0.2555 0.2962
C 0.0000 0.0000 0.5000
C 0.0000 0.5000 0.5000
C 0.5000 0.0000 0.5000
Cl 0.0000 0.5000 0.0000
Cl 0.5000 0.0000 0.0000
Cl 0.5000 0.5000 0.0000
F 0.5000 0.5000 0.5000
```



Record 6
Material: Pm4C2ClF
Method: DFT, GGA-PBE
State: relaxed Values from VASP.

Summary:
- E_form (uncorrected): -1234.0 meV/atom
- M_tot: 0.0 μB/f.u.
- Total energy: -6.380 eV per atom
- Space-group type: P2/m, No. 10

```
&SYSTEM
  ibrav = 0, nat = 8, ntyp = 4
/
ATOMIC_SPECIES
Pm 145.00 Pm.upf
C 12.01 C.upf
Cl 35.45 Cl.upf
F 19.00 F.upf
CELL_PARAMETERS angstrom
6.4357 0.0000 0.0000
0.0000 3.7290 0.0000
-2.1522 0.0000 6.6974
ATOMIC_POSITIONS crystal
Pm 0.2294 0.0000 0.2025
Pm 0.2605 0.5000 0.7958
Pm 0.7395 0.5000 0.2042
Pm 0.7706 0.0000 0.7975
C 0.0000 0.5000 0.0000
C 0.5000 0.0000 0.0000
Cl 0.5000 0.5000 0.5000
F 0.0000 0.0000 0.5000
```



Record 7
Material: Pm4C2ClF2
Method: DFT, GGA-PBE
State: relaxed Values from VASP.

Summary:
- E_form (uncorrected): -1518.0 meV/atom
- M_tot: 0.0 μB/f.u.
- Total energy: -6.300 eV per atom
- Space-group type: C2/m, No. 12

```
&SYSTEM
  ibrav = 0, nat = 9, ntyp = 4
/
ATOMIC_SPECIES
Pm 145.00 Pm.upf
C 12.01 C.upf
Cl 35.45 Cl.upf
F 19.00 F.upf
CELL_PARAMETERS angstrom
6.9345 -1.7876 0.0000
6.9345 1.7876 0.0000
-3.0706 0.0000 6.6396
ATOMIC_POSITIONS crystal
Pm 0.0035 0.0035 0.3007
Pm 0.2571 0.2571 0.7243
Pm 0.7429 0.7429 0.2757
Pm 0.9965 0.9965 0.6993
C 0.3695 0.3695 0.4870
C 0.6305 0.6305 0.5130
Cl 0.5000 0.5000 0.0000
F 0.1739 0.1739 0.9841
F 0.8261 0.8261 0.0159
```



Record 8
Material: Pr6C2Cl3F
Method: DFT, GGA-PBE
State: relaxed Values from VASP.

Summary:
- E_form (uncorrected): -1292.4 meV/atom
- M_tot: 0.0 μB/f.u.
- Total energy: -5.837 eV per atom
- Space-group type: C2/m, No. 12

```
&SYSTEM
  ibrav = 0, nat = 12, ntyp = 4
/
ATOMIC_SPECIES
Pr 140.91 Pr.upf
C 12.01 C.upf
Cl 35.45 Cl.upf
F 19.00 F.upf
CELL_PARAMETERS angstrom
3.2973 -5.7233 0.0000
3.2973 5.7233 0.0000
-2.2080 0.0000 7.1701
ATOMIC_POSITIONS crystal
Pr 0.0871 0.4351 0.8045
Pr 0.2178 0.2178 0.1955
Pr 0.4351 0.0871 0.8045
Pr 0.5649 0.9129 0.1955
Pr 0.7822 0.7822 0.8045
Pr 0.9129 0.5649 0.1955
C 0.1660 0.8340 0.0000
C 0.8340 0.1660 0.0000
Cl 0.0000 0.0000 0.5000
Cl 0.3297 0.6703 0.5000
Cl 0.6703 0.3297 0.5000
F 0.5000 0.5000 0.0000
```



Record 9
Material: Pr8C3Cl4F
Method: DFT, GGA-PBE
State: relaxed Values from VASP.

Summary:
- E_form (uncorrected): -1218.1 meV/atom
- M_tot: 0.0 μB/f.u.
- Total energy: -5.916 eV per atom
- Space-group type: R-3m, No. 166

```
&SYSTEM
  ibrav = 0, nat = 16, ntyp = 4
/
ATOMIC_SPECIES
Pr 140.91 Pr.upf
C 12.01 C.upf
Cl 35.45 Cl.upf
F 19.00 F.upf
CELL_PARAMETERS angstrom
3.8166 2.2035 7.1696
-3.8166 2.2035 7.1696
0.0000 -4.4070 7.1696
ATOMIC_POSITIONS crystal
Pr 0.2153 0.7401 0.7401
Pr 0.2319 0.2319 0.2319
Pr 0.2599 0.2599 0.7847
Pr 0.2599 0.7847 0.2599
Pr 0.7401 0.2153 0.7401
Pr 0.7401 0.7401 0.2153
Pr 0.7681 0.7681 0.7681
Pr 0.7847 0.2599 0.2599
C 0.0000 0.0000 0.5000
C 0.0000 0.5000 0.0000
C 0.5000 0.0000 0.0000
Cl 0.0000 0.0000 0.0000
Cl 0.0000 0.5000 0.5000
Cl 0.5000 0.0000 0.5000
Cl 0.5000 0.5000 0.0000
F 0.5000 0.5000 0.5000
```



Record 10
Material: RuCClF2
Method: DFT, GGA-PBE
State: relaxed Values from VASP.

Summary:
- E_form (uncorrected): 619.9 meV/atom
- M_tot: 3.3 μB/f.u.
- Total energy: -4.198 eV per atom
- Space-group type: P4/mmm, No. 123

```
&SYSTEM
  ibrav = 0, nat = 5, ntyp = 4
/
ATOMIC_SPECIES
Ru 101.07 Ru.upf
C 12.01 C.upf
Cl 35.45 Cl.upf
F 19.00 F.upf
CELL_PARAMETERS angstrom
3.9842 0.0000 0.0000
0.0000 3.9842 0.0000
0.0000 0.0000 5.0088
ATOMIC_POSITIONS crystal
Ru 0.0000 0.0000 0.0000
C 0.5000 0.5000 0.5000
Cl 0.0000 0.0000 0.5000
F 0.0000 0.5000 0.0000
F 0.5000 0.0000 0.0000
```



Record 11
Material: SiCCl3F3
Method: DFT, GGA-PBE
State: relaxed Values from VASP.

Summary:
- E_form (uncorrected): -1399.4 meV/atom
- M_tot: 0.0 μB/f.u.
- Total energy: -4.625 eV per atom
- Space-group type: C2/m, No. 12

```
&SYSTEM
  ibrav = 0, nat = 16, ntyp = 4
/
ATOMIC_SPECIES
Si 28.09 Si.upf
C 12.01 C.upf
Cl 35.45 Cl.upf
F 19.00 F.upf
CELL_PARAMETERS angstrom
6.0612 -4.8974 0.0000
6.0612 4.8974 0.0000
-0.2456 0.0000 6.5860
ATOMIC_POSITIONS crystal
Si 0.1936 0.1936 0.1820
Si 0.8064 0.8064 0.8180
C 0.3499 0.3499 0.2586
C 0.6501 0.6501 0.7414
Cl 0.0447 0.7031 0.7010
Cl 0.1793 0.1793 0.8744
Cl 0.2969 0.9553 0.2990
Cl 0.7031 0.0447 0.7010
Cl 0.8207 0.8207 0.1256
Cl 0.9553 0.2969 0.2990
F 0.2900 0.5149 0.1862
F 0.3663 0.3663 0.4656
F 0.4851 0.7100 0.8138
F 0.5149 0.2900 0.1862
F 0.6337 0.6337 0.5344
F 0.7100 0.4851 0.8138
```



Record 12
Material: Sm6C2Cl3F
Method: DFT, GGA-PBE
State: relaxed Values from VASP.

Summary:
- E_form (uncorrected): -1301.1 meV/atom
- M_tot: 0.0 μB/f.u.
- Total energy: -5.816 eV per atom
- Space-group type: C2/m, No. 12

```
&SYSTEM
  ibrav = 0, nat = 12, ntyp = 4
/
ATOMIC_SPECIES
Sm 150.36 Sm.upf
C 12.01 C.upf
Cl 35.45 Cl.upf
F 19.00 F.upf
CELL_PARAMETERS angstrom
3.2259 -5.6024 0.0000
3.2259 5.6024 0.0000
-2.1611 0.0000 6.9867
ATOMIC_POSITIONS crystal
Sm 0.0861 0.4357 0.8058
Sm 0.2163 0.2163 0.1937
Sm 0.4357 0.0861 0.8058
Sm 0.5643 0.9139 0.1942
Sm 0.7837 0.7837 0.8063
Sm 0.9139 0.5643 0.1942
C 0.1660 0.8340 0.0000
C 0.8340 0.1660 0.0000
Cl 0.0000 0.0000 0.5000
Cl 0.3306 0.6694 0.5000
Cl 0.6694 0.3306 0.5000
F 0.5000 0.5000 0.0000
```



Record 13
Material: ZrCClF2
Method: DFT, GGA-PBE
State: relaxed Values from VASP.

Summary:
- E_form (uncorrected): -1149.7 meV/atom
- M_tot: 0.9 μB/f.u.
- Total energy: -5.822 eV per atom
- Space-group type: P4/mmm, No. 123

```
&SYSTEM
  ibrav = 0, nat = 5, ntyp = 4
/
ATOMIC_SPECIES
Zr 91.22 Zr.upf
C 12.01 C.upf
Cl 35.45 Cl.upf
F 19.00 F.upf
CELL_PARAMETERS angstrom
4.1408 0.0000 0.0000
0.0000 4.1408 0.0000
0.0000 0.0000 4.6802
ATOMIC_POSITIONS crystal
Zr 0.0000 0.0000 0.0000
C 0.0000 0.0000 0.5000
Cl 0.5000 0.5000 0.5000
F 0.0000 0.5000 0.0000
F 0.5000 0.0000 0.0000
```



Record 14
Material: Fe2CCl
Method: DFT, GGA-PBE
State: relaxed Values from VASP.

Summary:
- E_form (uncorrected): 444.1 meV/atom
- M_tot: 0.0 μB/f.u.
- Total energy: -6.555 eV per atom
- Space-group type: I-42d, No. 122

```
&SYSTEM
  ibrav = 0, nat = 16, ntyp = 3
/
ATOMIC_SPECIES
Fe 55.84 Fe.upf
C 12.01 C.upf
Cl 35.45 Cl.upf
CELL_PARAMETERS angstrom
4.6032 0.0000 0.0000
0.0000 4.6032 0.0000
0.0000 0.0000 9.4159
ATOMIC_POSITIONS crystal
Fe 0.1793 0.2500 0.1250
Fe 0.2500 0.6793 0.3750
Fe 0.2500 0.8207 0.8750
Fe 0.3207 0.2500 0.6250
Fe 0.6793 0.7500 0.6250
Fe 0.7500 0.1793 0.8750
Fe 0.7500 0.3207 0.3750
Fe 0.8207 0.7500 0.1250
C 0.0000 0.0000 0.0000
C 0.0000 0.5000 0.2500
C 0.5000 0.0000 0.7500
C 0.5000 0.5000 0.5000
Cl 0.0000 0.0000 0.5000
Cl 0.0000 0.5000 0.7500
Cl 0.5000 0.0000 0.2500
Cl 0.5000 0.5000 0.0000
```



Record 15
Material: Fe2CCl
Method: DFT, GGA-PBE
State: relaxed Values from VASP.

Summary:
- E_form (uncorrected): 1165.6 meV/atom
- M_tot: 4.4 μB/f.u.
- Total energy: -5.833 eV per atom
- Space-group type: Fm-3m, No. 225

```
&SYSTEM
  ibrav = 0, nat = 16, ntyp = 3
/
ATOMIC_SPECIES
Fe 55.84 Fe.upf
C 12.01 C.upf
Cl 35.45 Cl.upf
CELL_PARAMETERS angstrom
5.5853 0.0000 0.0000
0.0000 5.5853 0.0000
0.0000 0.0000 5.5853
ATOMIC_POSITIONS crystal
Fe 0.2500 0.2500 0.2500
Fe 0.2500 0.2500 0.7500
Fe 0.2500 0.7500 0.2500
Fe 0.2500 0.7500 0.7500
Fe 0.7500 0.2500 0.2500
Fe 0.7500 0.2500 0.7500
Fe 0.7500 0.7500 0.2500
Fe 0.7500 0.7500 0.7500
C 0.0000 0.0000 0.0000
C 0.0000 0.5000 0.5000
C 0.5000 0.0000 0.5000
C 0.5000 0.5000 0.0000
Cl 0.0000 0.0000 0.5000
Cl 0.0000 0.5000 0.0000
Cl 0.5000 0.0000 0.0000
Cl 0.5000 0.5000 0.5000
```



Record 16
Material: FeC3Cl
Method: DFT, GGA-PBE
State: relaxed Values from VASP.

Summary:
- E_form (uncorrected): 3499.8 meV/atom
- M_tot: 0.0 μB/f.u.
- Total energy: -4.096 eV per atom
- Space-group type: Pm-3m, No. 221

```
&SYSTEM
  ibrav = 0, nat = 5, ntyp = 3
/
ATOMIC_SPECIES
Fe 55.84 Fe.upf
C 12.01 C.upf
Cl 35.45 Cl.upf
CELL_PARAMETERS angstrom
3.5739 0.0000 0.0000
0.0000 3.5739 0.0000
0.0000 0.0000 3.5739
ATOMIC_POSITIONS crystal
Fe 0.0000 0.0000 0.0000
C 0.0000 0.5000 0.5000
C 0.5000 0.0000 0.5000
C 0.5000 0.5000 0.0000
Cl 0.5000 0.5000 0.5000
```



Record 17
Material: FeC3Cl
Method: DFT, GGA-PBE
State: relaxed Values from VASP.

Summary:
- E_form (uncorrected): 2013.3 meV/atom
- M_tot: 0.0 μB/f.u.
- Total energy: -5.583 eV per atom
- Space-group type: Pm-3m, No. 221

```
&SYSTEM
  ibrav = 0, nat = 5, ntyp = 3
/
ATOMIC_SPECIES
Fe 55.84 Fe.upf
C 12.01 C.upf
Cl 35.45 Cl.upf
CELL_PARAMETERS angstrom
3.7859 0.0000 0.0000
0.0000 3.7859 0.0000
0.0000 0.0000 3.7859
ATOMIC_POSITIONS crystal
Fe 0.0000 0.0000 0.0000
C 0.0000 0.0000 0.5000
C 0.0000 0.5000 0.0000
C 0.5000 0.0000 0.0000
Cl 0.5000 0.5000 0.5000
```



Record 18
Material: FeHC2Cl
Method: DFT, GGA-PBE
State: relaxed Values from VASP.

Summary:
- M_tot: 0.0 μB/f.u.
- Total energy: -4.951 eV per atom
- Space-group type: P4/mmm, No. 123

```
&SYSTEM
  ibrav = 0, nat = 5, ntyp = 4
/
ATOMIC_SPECIES
Fe 55.84 Fe.upf
H 1.01 H.upf
C 12.01 C.upf
Cl 35.45 Cl.upf
CELL_PARAMETERS angstrom
3.7722 0.0000 0.0000
0.0000 3.7722 0.0000
0.0000 0.0000 3.5907
ATOMIC_POSITIONS crystal
Fe 0.0000 0.0000 0.0000
H 0.0000 0.0000 0.5000
C 0.0000 0.5000 0.0000
C 0.5000 0.0000 0.0000
Cl 0.5000 0.5000 0.5000
```



Record 19
Material: FeH12C4NCl4
Method: DFT, GGA-PBE
State: relaxed Values from VASP.

Summary:
- M_tot: 5.0 μB/f.u.
- Total energy: -4.988 eV per atom
- Space-group type: Pma2, No. 28

```
&SYSTEM
  ibrav = 0, nat = 44, ntyp = 5
/
ATOMIC_SPECIES
Fe 55.84 Fe.upf
H 1.01 H.upf
C 12.01 C.upf
N 14.01 N.upf
Cl 35.45 Cl.upf
CELL_PARAMETERS angstrom
14.2843 0.0000 0.0000
0.0000 6.6591 0.0000
0.0000 0.0000 6.5883
ATOMIC_POSITIONS crystal
Fe 0.2500 0.0705 0.0000
Fe 0.7500 0.9295 0.0000
H 0.0275 0.2789 0.1863
H 0.0564 0.7932 0.3770
H 0.0568 0.3084 0.6387
H 0.0890 0.6192 0.1825
H 0.1029 0.5599 0.6366
H 0.1374 0.3829 0.4446
H 0.3626 0.3829 0.4446
H 0.3971 0.5599 0.6366
H 0.4110 0.6192 0.1825
H 0.4432 0.3084 0.6387
H 0.4436 0.7932 0.3770
H 0.4725 0.2789 0.1863
H 0.5275 0.7211 0.1863
H 0.5564 0.2068 0.3770
H 0.5568 0.6916 0.6387
H 0.5890 0.3808 0.1825
H 0.6029 0.4401 0.6366
H 0.6374 0.6171 0.4446
H 0.8626 0.6171 0.4446
H 0.8971 0.4401 0.6366
H 0.9110 0.3808 0.1825
H 0.9432 0.6916 0.6387
H 0.9436 0.2068 0.3770
H 0.9725 0.7211 0.1863
C 0.0316 0.6711 0.2794
C 0.0801 0.4331 0.5428
C 0.4199 0.4331 0.5428
C 0.4684 0.6711 0.2794
C 0.5316 0.3289 0.2794
C 0.5801 0.5669 0.5428
C 0.9199 0.5669 0.5428
C 0.9684 0.3289 0.2794
N 0.0000 0.5000 0.4113
N 0.5000 0.5000 0.4113
Cl 0.1230 0.9504 0.8530
Cl 0.2500 0.4039 0.9823
Cl 0.2500 0.9928 0.3257
Cl 0.3770 0.9504 0.8530
Cl 0.6230 0.0496 0.8530
Cl 0.7500 0.0072 0.3257
Cl 0.7500 0.5961 0.9823
Cl 0.8770 0.0496 0.8530
```